--- one ---
The following is a DFT calculation (GGA-PBE) of crystalline NaBe3Au at its relaxed geometry.

Calculated values
V	17.344	Å³/atom
total moment	0.00	μB/atom

The structure in CIF format:
```
data_NaBe3Au
_chemical_formula_sum 'Na1 Be3 Au1'
_cell_length_a 4.426
_cell_length_b 4.426
_cell_length_c 4.426
_cell_angle_alpha 90.00
_cell_angle_beta 90.00
_cell_angle_gamma 90.00
_symmetry_space_group_name_H-M 'P m -3 m'
_symmetry_Int_Tables_number 221
_symmetry_space_group_name_Hall '-P 4 2 3'
loop_
_atom_site_label
_atom_site_fract_x
_atom_site_fract_y
_atom_site_fract_z
Na1 0.000 0.000 0.000
Be1 0.000 0.500 0.500
Au1 0.500 0.500 0.500
```

--- two ---
The following is a DFT calculation (GGA-PBE) of crystalline NaBe3Au at its relaxed geometry.

Calculated values
V	15.718	Å³/atom
total moment	0.00	μB/atom

The structure in CIF format:
```
data_NaBe3Au
_chemical_formula_sum 'Na1 Be3 Au1'
_cell_length_a 4.283
_cell_length_b 4.283
_cell_length_c 4.283
_cell_angle_alpha 90.00
_cell_angle_beta 90.00
_cell_angle_gamma 90.00
_symmetry_space_group_name_H-M 'P m -3 m'
_symmetry_Int_Tables_number 221
_symmetry_space_group_name_Hall '-P 4 2 3'
loop_
_atom_site_label
_atom_site_fract_x
_atom_site_fract_y
_atom_site_fract_z
Na1 0.000 0.000 0.000
Be1 0.000 0.000 0.500
Au1 0.500 0.500 0.500
```

Quick one: most stable of them? one